(1)
# AcSm2Tm

A geometry-optimized AcSm2Tm structure (GGA-PBE, Alexandria).

Cell: 3.707 3.707 10.324 Å, 90.00 90.00 90.00°
Atoms (fractional coordinates):
Ac1 0.000 0.000 0.000
Sm1 0.500 0.500 0.265
Sm2 0.500 0.500 0.735
Tm1 0.000 0.000 0.500

Values from the calculation:
Space group   P4/mmm (123)
Formation energy from the elements   0.05 eV/atom
ΔE to the lowest computed polymorph   0.0071 eV/atom
Crystal system   tetragonal

---

(2)
# Ac2Sm15Tm2

A geometry-optimized Ac2Sm15Tm2 structure (GGA-PBE, Alexandria).

Cell: 8.908 8.908 8.908 Å, 79.03 79.03 79.03°
Atoms (fractional coordinates):
Ac1 0.106 0.106 0.106
Ac2 0.894 0.894 0.894
Sm1 0.000 0.000 0.500
Sm2 0.000 0.306 0.694
Sm3 0.000 0.500 0.000
Sm4 0.000 0.694 0.306
Sm5 0.159 0.622 0.622
Sm6 0.306 0.000 0.694
Sm7 0.306 0.694 0.000
Sm8 0.378 0.378 0.841
Sm9 0.378 0.841 0.378
Sm10 0.500 0.000 0.000
Sm11 0.622 0.159 0.622
Sm12 0.622 0.622 0.159
Sm13 0.694 0.000 0.306
Sm14 0.694 0.306 0.000
Sm15 0.841 0.378 0.378
Tm1 0.324 0.324 0.324
Tm2 0.676 0.676 0.676

Values from the calculation:
Space group   R-3m (166)
Formation energy from the elements   0.29 eV/atom
Crystal system   trigonal

---

(3)
# AcSm7Tm3

A geometry-optimized AcSm7Tm3 structure (GGA-PBE, Alexandria).

Cell: 7.210 7.210 8.683 Å, 90.00 90.00 120.00°
Atoms (fractional coordinates):
Ac1 0.000 0.000 0.000
Sm1 0.002 0.501 0.989
Sm2 0.333 0.167 0.337
Sm3 0.333 0.667 0.324
Sm4 0.499 0.501 0.989
Sm5 0.499 0.998 0.989
Sm6 0.833 0.167 0.337
Sm7 0.833 0.667 0.337
Tm1 0.169 0.338 0.657
Tm2 0.169 0.831 0.657
Tm3 0.662 0.831 0.657

Values from the calculation:
Space group   P3m1 (156)
Formation energy from the elements   0.21 eV/atom
Crystal system   trigonal